Entry 1:
## Hf2Nb3Ge4 (PBE)

Data for a geometry-optimized Hf2Nb3Ge4 structure.

## Properties
total energy: -8.265 eV per atom
offset from the most stable computed form: 0 meV per atom

Cell lengths 6.839, 6.977, 13.272 Å; angles 90.00, 90.00, 90.00 degrees
Atoms (fractional coordinates):
1 Nb 0.166 0.507 0.250
2 Ge 0.691 0.848 0.750
3 Hf 0.487 0.675 0.591
4 Ge 0.316 0.038 0.959
5 Ge 0.039 0.889 0.250
6 Ge 0.316 0.038 0.541
7 Hf 0.987 0.825 0.909
8 Nb 0.841 0.665 0.376
9 Hf 0.987 0.825 0.591
10 Nb 0.334 0.007 0.750
11 Ge 0.309 0.152 0.250
12 Hf 0.013 0.175 0.091
13 Nb 0.666 0.993 0.250
14 Hf 0.513 0.325 0.091
15 Ge 0.184 0.538 0.459
16 Hf 0.513 0.325 0.409
17 Ge 0.809 0.348 0.250
18 Nb 0.341 0.835 0.376
19 Nb 0.659 0.165 0.876
20 Ge 0.184 0.538 0.041
21 Nb 0.834 0.493 0.750
22 Ge 0.684 0.962 0.041
23 Ge 0.816 0.462 0.541
24 Ge 0.191 0.652 0.750
25 Ge 0.684 0.962 0.459
26 Nb 0.341 0.835 0.124
27 Hf 0.013 0.175 0.409
28 Ge 0.539 0.611 0.250
29 Nb 0.159 0.335 0.624
30 Ge 0.461 0.389 0.750
31 Nb 0.841 0.665 0.124
32 Hf 0.487 0.675 0.909
33 Ge 0.961 0.111 0.750
34 Ge 0.816 0.462 0.959
35 Nb 0.659 0.165 0.624
36 Nb 0.159 0.335 0.876

***

Entry 2:
## Hf2NbGe3 (PBE)

Data for a geometry-optimized Hf2NbGe3 structure.

## Properties
total energy: -7.737 eV per atom

Cell lengths 5.366, 7.560, 6.613 Å; angles 106.60, 113.94, 90.00 degrees
Atoms (fractional coordinates):
1 Hf 0.332 0.416 0.663
2 Hf 0.331 0.916 0.663
3 Ge 0.500 0.750 0.000
4 Nb 0.000 0.250 0.000
5 Ge 0.163 0.081 0.326
6 Nb 0.000 0.750 0.000
7 Hf 0.669 0.084 0.337
8 Ge 0.500 0.250 0.000
9 Ge 0.838 0.419 0.674
10 Ge 0.837 0.919 0.674
11 Ge 0.162 0.581 0.326
12 Hf 0.668 0.584 0.337

***

Entry 3:
## HfNb2Ge2 (PBE)

Data for a geometry-optimized HfNb2Ge2 structure.

## Properties
total energy: -8.046 eV per atom
offset from the most stable computed form: 384 meV per atom

Cell lengths 3.654, 5.149, 5.451 Å; angles 102.84, 109.58, 90.00 degrees
Atoms (fractional coordinates):
1 Ge 0.709 0.134 0.419
2 Ge 0.291 0.866 0.581
3 Hf 0.000 0.000 0.000
4 Nb 0.369 0.425 0.737
5 Nb 0.631 0.575 0.263

***

Entry 4:
## Hf5NbGe3 (PBE)

Data for a geometry-optimized Hf5NbGe3 structure.

## Properties
total energy: -8.150 eV per atom

Cell lengths 7.100, 7.100, 9.356 Å; angles 73.29, 73.29, 72.77 degrees
Atoms (fractional coordinates):
1 Hf 0.652 0.067 0.716
2 Hf 0.348 0.933 0.284
3 Nb 0.922 0.922 0.280
4 Hf 0.526 0.526 0.674
5 Nb 0.078 0.078 0.720
6 Hf 0.256 0.256 0.933
7 Hf 0.474 0.474 0.326
8 Hf 0.693 0.307 0.000
9 Ge 0.679 0.679 0.824
10 Hf 0.933 0.348 0.284
11 Ge 0.314 0.314 0.617
12 Ge 0.000 0.000 0.000
13 Ge 0.686 0.686 0.383
14 Hf 0.307 0.693 0.000
15 Hf 0.744 0.744 0.067
16 Ge 0.000 0.000 0.500
17 Hf 0.067 0.652 0.716
18 Ge 0.321 0.321 0.176

***

Entry 5:
## Hf3Nb4Ge4 (PBE)

Data for a geometry-optimized Hf3Nb4Ge4 structure.

## Properties
total energy: -8.521 eV per atom

Cell lengths 3.593, 7.868, 8.466 Å; angles 117.69, 102.25, 90.00 degrees
Atoms (fractional coordinates):
1 Hf 0.111 0.111 0.221
2 Hf 0.889 0.889 0.779
3 Nb 0.329 0.521 0.658
4 Nb 0.671 0.863 0.342
5 Nb 0.671 0.479 0.342
6 Ge 0.752 0.252 0.504
7 Ge 0.500 0.802 0.000
8 Ge 0.500 0.198 0.000
9 Nb 0.329 0.137 0.658
10 Hf 0.000 0.500 0.000
11 Ge 0.248 0.748 0.496

***

Entry 6:
## Hf4NbGe4 (PBE)

Data for a geometry-optimized Hf4NbGe4 structure.

## Properties
total energy: -8.307 eV per atom

Cell lengths 6.945, 7.066, 13.485 Å; angles 90.00, 90.00, 90.00 degrees
Atoms (fractional coordinates):
1 Hf 0.514 0.177 0.905
2 Nb 0.674 0.503 0.750
3 Hf 0.847 0.831 0.875
4 Ge 0.691 0.533 0.960
5 Ge 0.309 0.467 0.460
6 Ge 0.691 0.533 0.540
7 Nb 0.826 0.003 0.250
8 Hf 0.653 0.331 0.125
9 Ge 0.686 0.650 0.250
10 Nb 0.174 0.997 0.750
11 Ge 0.455 0.108 0.250
12 Hf 0.514 0.177 0.595
13 Hf 0.653 0.331 0.375
14 Hf 0.347 0.669 0.875
15 Ge 0.186 0.850 0.250
16 Ge 0.545 0.892 0.750
17 Hf 0.486 0.823 0.095
18 Hf 0.014 0.323 0.595
19 Ge 0.955 0.392 0.250
20 Nb 0.326 0.497 0.250
21 Hf 0.847 0.831 0.625
22 Ge 0.814 0.150 0.750
23 Ge 0.809 0.033 0.460
24 Ge 0.809 0.033 0.040
25 Hf 0.153 0.169 0.125
26 Hf 0.347 0.669 0.625
27 Ge 0.314 0.350 0.750
28 Hf 0.986 0.677 0.405
29 Hf 0.153 0.169 0.375
30 Hf 0.486 0.823 0.405
31 Ge 0.309 0.467 0.040
32 Hf 0.014 0.323 0.905
33 Hf 0.986 0.677 0.095
34 Ge 0.191 0.967 0.540
35 Ge 0.191 0.967 0.960
36 Ge 0.045 0.608 0.750

***

Entry 7:
## HfNb2Ge2 (PBE)

Data for a geometry-optimized HfNb2Ge2 structure.

## Properties
total energy: -8.431 eV per atom
offset from the most stable computed form: 0 meV per atom

Cell lengths 7.015, 7.015, 3.564 Å; angles 90.00, 90.00, 90.00 degrees
Atoms (fractional coordinates):
1 Nb 0.669 0.831 0.500
2 Ge 0.369 0.869 0.000
3 Hf 0.500 0.500 0.000
4 Nb 0.831 0.331 0.500
5 Nb 0.169 0.669 0.500
6 Nb 0.331 0.169 0.500
7 Ge 0.631 0.131 0.000
8 Ge 0.131 0.369 0.000
9 Ge 0.869 0.631 0.000
10 Hf 0.000 0.000 0.000

***

Entry 8:
## HfNbGe2 (PBE)

Data for a geometry-optimized HfNbGe2 structure.

## Properties
total energy: -7.455 eV per atom
offset from the most stable computed form: 221 meV per atom

Cell lengths 3.074, 3.074, 9.076 Å; angles 80.25, 80.25, 60.00 degrees
Atoms (fractional coordinates):
1 Ge 0.747 0.747 0.758
2 Hf 0.500 0.500 0.500
3 Nb 0.000 0.000 0.000
4 Ge 0.253 0.253 0.242

***

Magnetic moment for every record listed, in sequence, given in μB per formula unit: 0.0 0.0 0.0 0.0 0.0 0.0 0.0 0.0.